[1]
VASP calculation (PBE-GGA) on a relaxed structure of LaCoSb2.

The crystal system is tetragonal. The formation energy without anion corrections comes out at -19.03 kJ/mol of atoms. The magnetic moment comes out at 0.000 μB/atom. The value obtained for the total energy is -5.27 eV per atom.

The space group is I-42d (No. 122) and the conventional cell measures 5.364, 5.364 and 16.108 Å, with angles of 90.00, 90.00 and 90.00 degrees. The inequivalent atoms are La at (0.000, 0.000, 0.000), Co at (0.000, 0.000, 0.500) and Sb at (0.112, 0.250, 0.625).



[2]
VASP calculation (PBE-GGA) on a relaxed structure of La4CoSb.

The crystal system is monoclinic. The formation energy without anion corrections comes out at -42.42 kJ/mol of atoms. The magnetic moment comes out at 0.000 μB/atom. The value obtained for the total energy is -5.60 eV per atom.

The space group is C2/c (No. 15) and the conventional cell measures 9.142, 14.667 and 6.533 Å, with angles of 90.00, 120.38 and 90.00 degrees. The inequivalent atoms are La at (0.115, 0.191, 0.082), La at (0.247, 0.441, 0.330), Co at (0.000, 0.014, 0.250) and Sb at (0.000, 0.379, 0.750).



[3]
VASP calculation (PBE-GGA) on a relaxed structure of LaCoSb2.

The crystal system is orthorhombic. The formation energy without anion corrections comes out at -53.12 kJ/mol of atoms. The magnetic moment comes out at 0.000 μB/atom. The value obtained for the total energy is -5.62 eV per atom.

The space group is Cmmm (No. 65) and the conventional cell measures 5.746, 8.180 and 4.135 Å, with angles of 90.00, 90.00 and 90.00 degrees. The inequivalent atoms are La at (0.000, 0.000, 0.000), Co at (0.000, 0.500, 0.000) and Sb at (0.000, 0.316, 0.500).



[4]
VASP calculation (PBE-GGA) on a relaxed structure of LaCo3Sb.

The crystal system is cubic. The formation energy without anion corrections comes out at 127.73 kJ/mol of atoms. The magnetic moment comes out at 0.446 μB/atom. The value obtained for the total energy is -4.75 eV per atom.

The space group is Pm-3m (No. 221) and the conventional cell measures 4.653, 4.653 and 4.653 Å, with angles of 90.00, 90.00 and 90.00 degrees. The inequivalent atoms are La at (0.000, 0.000, 0.000), Co at (0.000, 0.000, 0.500) and Sb at (0.500, 0.500, 0.500).